Run a
4
Lattice="0.000 3.657 3.657 3.657 0.000 3.657 3.657 3.657 0.000" Properties=species:S:1:pos:R:3 comment="RbMg2Fe, optimized geometry, DFT PBE" dos_ef_per_ev_atom=5.0146 space_group="Fm-3m, No. 225" pbc="T T T"
Rb 0.000 0.000 0.000
Mg 1.829 1.829 1.829
Mg 5.486 5.486 5.486
Fe 3.657 3.657 3.657


Run b
8
Lattice="-3.032 3.032 8.862 3.032 -3.032 8.862 3.032 3.032 -8.862" Properties=species:S:1:pos:R:3 comment="RbMg2Fe, optimized geometry, DFT PBE" dos_ef_per_ev_atom=1.3531 space_group="I4_1/amd, No. 141" pbc="T T T"
Rb 3.032 1.516 2.215
Rb 0.000 1.516 6.646
Mg 0.000 0.000 0.000
Mg 1.516 1.516 -4.431
Mg 1.516 -1.516 4.431
Mg 0.000 3.032 0.000
Fe 3.032 -1.516 6.646
Fe 0.000 4.548 2.215


Most stable: run b (next structure +27.1 kJ/mol of atoms)